A relaxed structure of AlPIr, computed with PBE.

```
data_AlPIr
_chemical_formula_sum 'Al4 P4 Ir4'
_space_group_name_H-M_alt 'F -4 3 m'
_space_group_IT_number 216
_space_group_name_Hall 'F -4 2 3'
_cell_length_a 5.771
_cell_length_b 5.771
_cell_length_c 5.771
_cell_angle_alpha 90.00
_cell_angle_beta 90.00
_cell_angle_gamma 90.00
loop_
_atom_site_label
_atom_site_type_symbol
_atom_site_fract_x
_atom_site_fract_y
_atom_site_fract_z
_atom_site_occupancy
Al1 Al 0.000 0.000 0.000 1
P1 P 0.000 0.000 0.500 1
Ir1 Ir 0.250 0.250 0.750 1
```

**Formation energy from the elements**: -0.49 eV per atom
**DOS at the Fermi energy**: 0.38 states/eV per atom